Entry 1:
## Dy3CSe (GGA-PBE)

Data for a relaxed structure of Dy3CSe.

```
data_Dy3CSe
_chemical_formula_sum 'Dy24 C8 Se8'
_space_group_name_H-M_alt 'C 1 2/c 1'
_space_group_IT_number 15
_cell_length_a 13.0216
_cell_length_b 11.3884
_cell_length_c 6.4693
_cell_angle_alpha 90.00
_cell_angle_beta 98.44
_cell_angle_gamma 90.00
loop_
_space_group_symop_operation_xyz
'x,y,z'
'-x,-y,-z'
'-x,y,-z+1/2'
'x,-y,z+1/2'
'x+1/2,y+1/2,z'
'-x+1/2,-y+1/2,-z'
'-x+1/2,y+1/2,-z+1/2'
'x+1/2,-y+1/2,z+1/2'
loop_
_atom_site_label
_atom_site_type_symbol
_atom_site_fract_x
_atom_site_fract_y
_atom_site_fract_z
Dy1 Dy 0.1042 0.0812 0.1112
Dy2 Dy 0.1039 0.2364 0.6112
Dy3 Dy 0.1102 0.3950 0.1267
C1 C 0.0000 0.0787 0.7500
C2 C 0.0000 0.2507 0.2500
Se1 Se 0.2443 0.4181 0.5117
```

## Properties
DOS at the Fermi energy = 2.195 states/eV/f.u.
E_form (uncorrected) = -0.885 eV per atom
Offset from the most stable computed form = 0 meV per atom
DFT total energy = -6.1880 eV/atom



Entry 2:
## Dy4SiCSe2 (GGA-PBE)

Data for a relaxed structure of Dy4SiCSe2.

```
data_Dy4SiCSe2
_chemical_formula_sum 'Dy4 Si1 C1 Se2'
_space_group_name_H-M_alt 'P 1 2/m 1'
_space_group_IT_number 10
_cell_length_a 6.9242
_cell_length_b 3.8970
_cell_length_c 7.0449
_cell_angle_alpha 90.00
_cell_angle_beta 108.64
_cell_angle_gamma 90.00
loop_
_space_group_symop_operation_xyz
'x,y,z'
'-x,-y,-z'
'-x,y,-z'
'x,-y,z'
loop_
_atom_site_label
_atom_site_type_symbol
_atom_site_fract_x
_atom_site_fract_y
_atom_site_fract_z
Dy1 Dy 0.2188 0.0000 0.2100
Dy2 Dy 0.2369 0.5000 0.7747
Si1 Si 0.5000 0.0000 0.0000
C1 C 0.0000 0.5000 0.0000
Se1 Se 0.0000 0.0000 0.5000
Se2 Se 0.5000 0.5000 0.5000
```

## Properties
DOS at the Fermi energy = 1.185 states/eV/f.u.
E_form (uncorrected) = -1.170 eV per atom
DFT total energy = -6.1735 eV/atom



Entry 3:
## Dy6SiC2Se3 (GGA-PBE)

Data for a relaxed structure of Dy6SiC2Se3.

```
data_Dy6SiC2Se3
_chemical_formula_sum 'Dy12 Si2 C4 Se6'
_space_group_name_H-M_alt 'C 1 2/m 1'
_space_group_IT_number 12
_cell_length_a 17.3838
_cell_length_b 3.8365
_cell_length_c 8.1084
_cell_angle_alpha 90.00
_cell_angle_beta 105.12
_cell_angle_gamma 90.00
loop_
_space_group_symop_operation_xyz
'x,y,z'
'-x,-y,-z'
'-x,y,-z'
'x,-y,z'
'x+1/2,y+1/2,z'
'-x+1/2,-y+1/2,-z'
'-x+1/2,y+1/2,-z'
'x+1/2,-y+1/2,z'
loop_
_atom_site_label
_atom_site_type_symbol
_atom_site_fract_x
_atom_site_fract_y
_atom_site_fract_z
Dy1 Dy 0.0175 0.0000 0.2569
Dy2 Dy 0.1689 0.5000 0.1234
Dy3 Dy 0.1788 0.5000 0.5583
Si1 Si 0.0000 0.5000 0.0000
C1 C 0.1714 0.0000 0.3414
Se1 Se 0.0000 0.5000 0.5000
Se2 Se 0.1629 0.0000 0.8309
```

## Properties
DOS at the Fermi energy = 1.514 states/eV/f.u.
E_form (uncorrected) = -1.172 eV per atom
DFT total energy = -6.3332 eV/atom



Entry 4:
## SmDyCSe (GGA-PBE)

Data for a relaxed structure of SmDyCSe.

```
data_SmDyCSe
_chemical_formula_sum 'Sm3 Dy3 C3 Se3'
_space_group_name_H-M_alt 'R 3 m'
_space_group_IT_number 160
_space_group_name_Hall 'R 3 -2"'
_cell_length_a 3.7828
_cell_length_b 3.7828
_cell_length_c 20.4608
_cell_angle_alpha 90.00
_cell_angle_beta 90.00
_cell_angle_gamma 120.00
loop_
_atom_site_label
_atom_site_type_symbol
_atom_site_fract_x
_atom_site_fract_y
_atom_site_fract_z
Sm1 Sm 0.0000 0.0000 0.0000
Dy1 Dy 0.0000 0.0000 0.1994
C1 C 0.0000 0.0000 0.5979
Se1 Se 0.0000 0.0000 0.7701
```

## Properties
DOS at the Fermi energy = 0.094 states/eV/f.u.
E_form (uncorrected) = -1.063 eV per atom
DFT total energy = -6.5707 eV/atom